<P>
VASP calculation (PBE) on Dy2Au3 after structural relaxation.

```
data_Dy2Au3
_cell_length_a 9.998
_cell_length_b 9.998
_cell_length_c 9.998
_cell_angle_alpha 90.00
_cell_angle_beta 90.00
_cell_angle_gamma 90.00
_space_group_name_H-M_alt 'I -4 3 d'
_space_group_IT_number 220
_space_group_name_Hall 'I -4bd 2c 3'
loop_
_atom_site_label
_atom_site_fract_x
_atom_site_fract_y
_atom_site_fract_z
Dy1 0.039 0.461 0.539
Au1 0.000 0.250 0.015
```

***

<Q>
VASP calculation (PBE) on Dy2Au3 after structural relaxation.

```
data_Dy2Au3
_cell_length_a 3.696
_cell_length_b 3.696
_cell_length_c 16.232
_cell_angle_alpha 90.00
_cell_angle_beta 90.00
_cell_angle_gamma 90.00
_space_group_name_H-M_alt 'I 4/m m m'
_space_group_IT_number 139
_space_group_name_Hall '-I 4 2'
loop_
_atom_site_label
_atom_site_fract_x
_atom_site_fract_y
_atom_site_fract_z
Dy1 0.000 0.000 0.110
Au1 0.000 0.000 0.299
Au2 0.000 0.000 0.500
```

***

Relative energy of each structure, in meV per atom: <P> 205; <Q> 0.

***

<P>
VASP calculation (PBE) on DyErAu after structural relaxation.

```
data_DyErAu
_cell_length_a 7.100
_cell_length_b 4.939
_cell_length_c 8.890
_cell_angle_alpha 90.00
_cell_angle_beta 90.00
_cell_angle_gamma 90.00
_space_group_name_H-M_alt 'P n m a'
_space_group_IT_number 62
loop_
_space_group_symop_operation_xyz
'x,y,z'
'-x,-y,-z'
'-x+1/2,-y,z+1/2'
'x+1/2,y,-z+1/2'
'x+1/2,-y+1/2,-z+1/2'
'-x+1/2,y+1/2,z+1/2'
'-x,y+1/2,-z'
'x,-y+1/2,z'
loop_
_atom_site_label
_atom_site_fract_x
_atom_site_fract_y
_atom_site_fract_z
Dy1 0.014 0.250 0.177
Er1 0.149 0.250 0.580
Au1 0.244 0.250 0.901
```

***

<Q>
VASP calculation (PBE) on DyErAu after structural relaxation.

```
data_DyErAu
_cell_length_a 7.001
_cell_length_b 7.001
_cell_length_c 7.001
_cell_angle_alpha 90.00
_cell_angle_beta 90.00
_cell_angle_gamma 90.00
_space_group_name_H-M_alt 'F -4 3 m'
_space_group_IT_number 216
_space_group_name_Hall 'F -4 2 3'
loop_
_atom_site_label
_atom_site_fract_x
_atom_site_fract_y
_atom_site_fract_z
Dy1 0.000 0.000 0.000
Er1 0.000 0.000 0.500
Au1 0.250 0.250 0.750
```

***

<R>
VASP calculation (PBE) on DyErAu after structural relaxation.

```
data_DyErAu
_cell_length_a 3.578
_cell_length_b 3.578
_cell_length_c 12.242
_cell_angle_alpha 90.00
_cell_angle_beta 90.00
_cell_angle_gamma 90.00
_space_group_name_H-M_alt 'I 4 m m'
_space_group_IT_number 107
_space_group_name_Hall 'I 4 -2'
loop_
_atom_site_label
_atom_site_fract_x
_atom_site_fract_y
_atom_site_fract_z
Dy1 0.000 0.000 0.000
Er1 0.000 0.000 0.290
Au1 0.000 0.000 0.649
```

***

<S>
VASP calculation (PBE) on DyErAu after structural relaxation.

```
data_DyErAu
_cell_length_a 4.9774
_cell_length_b 4.9774
_cell_length_c 22.3873
_cell_angle_alpha 90.00
_cell_angle_beta 90.00
_cell_angle_gamma 120.00
_space_group_name_H-M_alt 'R 3 m'
_space_group_IT_number 160
_space_group_name_Hall 'R 3 -2"'
loop_
_atom_site_label
_atom_site_fract_x
_atom_site_fract_y
_atom_site_fract_z
Dy1 0.0000 0.0000 0.0000
Dy2 0.0000 0.0000 0.1627
Er1 0.0000 0.0000 0.4200
Er2 0.0000 0.0000 0.5828
Au1 0.0000 0.0000 0.7165
Au2 0.0000 0.0000 0.8673
```

***

Relative energy of each structure, in meV per atom: <P> 0; <Q> 190; <R> 105; <S> 175.

***

<P>
VASP calculation (PBE) on DyErAu after structural relaxation.

```
data_DyErAu
_cell_length_a 6.942
_cell_length_b 7.068
_cell_length_c 6.788
_cell_angle_alpha 90.00
_cell_angle_beta 90.50
_cell_angle_gamma 90.00
_space_group_name_H-M_alt 'P 1 21/c 1'
_space_group_IT_number 14
loop_
_space_group_symop_operation_xyz
'x,y,z'
'-x,-y,-z'
'-x,y+1/2,-z+1/2'
'x,-y+1/2,z+1/2'
loop_
_atom_site_label
_atom_site_fract_x
_atom_site_fract_y
_atom_site_fract_z
Dy1 0.117 0.081 0.251
Er1 0.448 0.749 0.500
Au1 0.279 0.035 0.747
```

***

<Q>
VASP calculation (PBE) on DyErAu after structural relaxation.

```
data_DyErAu
_cell_length_a 4.8887
_cell_length_b 4.8887
_cell_length_c 3.7917
_cell_angle_alpha 90.00
_cell_angle_beta 90.00
_cell_angle_gamma 120.00
_space_group_name_H-M_alt 'P 3 m 1'
_space_group_IT_number 156
loop_
_space_group_symop_operation_xyz
'x,y,z'
'-y,x-y,z'
'-x+y,-x,z'
'-y,-x,z'
'-x+y,y,z'
'x,x-y,z'
loop_
_atom_site_label
_atom_site_fract_x
_atom_site_fract_y
_atom_site_fract_z
Dy1 0.0000 0.0000 0.0000
Er1 0.3333 0.6667 0.5269
Au1 0.6667 0.3333 0.2790
```

***

Relative energy of each structure, in meV per atom: <P> 0; <Q> 130.

***

<P>
VASP calculation (PBE) on DyEr2Au after structural relaxation.

```
data_DyEr2Au
_cell_length_a 6.918
_cell_length_b 9.665
_cell_length_c 6.636
_cell_angle_alpha 90.00
_cell_angle_beta 90.00
_cell_angle_gamma 90.00
_space_group_name_H-M_alt 'P n m a'
_space_group_IT_number 62
loop_
_space_group_symop_operation_xyz
'x,y,z'
'-x,-y,-z'
'-x+1/2,-y,z+1/2'
'x+1/2,y,-z+1/2'
'x+1/2,-y+1/2,-z+1/2'
'-x+1/2,y+1/2,z+1/2'
'-x,y+1/2,-z'
'x,-y+1/2,z'
loop_
_atom_site_label
_atom_site_fract_x
_atom_site_fract_y
_atom_site_fract_z
Dy1 0.011 0.250 0.116
Er1 0.197 0.055 0.695
Au1 0.087 0.750 0.458
```

***

<Q>
VASP calculation (PBE) on DyEr2Au after structural relaxation.

```
data_DyEr2Au
_cell_length_a 4.883
_cell_length_b 11.771
_cell_length_c 7.800
_cell_angle_alpha 90.00
_cell_angle_beta 90.00
_cell_angle_gamma 90.00
_space_group_name_H-M_alt 'C m c m'
_space_group_IT_number 63
_space_group_name_Hall '-C 2c 2'
loop_
_atom_site_label
_atom_site_fract_x
_atom_site_fract_y
_atom_site_fract_z
Dy1 0.000 0.043 0.250
Er1 0.000 0.355 0.037
Au1 0.000 0.205 0.750
```

***

<R>
VASP calculation (PBE) on DyEr2Au after structural relaxation.

```
data_DyEr2Au
_cell_length_a 3.6467
_cell_length_b 3.6467
_cell_length_c 29.7837
_cell_angle_alpha 90.00
_cell_angle_beta 90.00
_cell_angle_gamma 120.00
_space_group_name_H-M_alt 'R -3 m'
_space_group_IT_number 166
_space_group_name_Hall '-R 3 2"'
loop_
_atom_site_label
_atom_site_fract_x
_atom_site_fract_y
_atom_site_fract_z
Dy1 0.0000 0.0000 0.0000
Er1 0.0000 0.0000 0.2368
Au1 0.0000 0.0000 0.5000
```

***

Relative energy of each structure, in meV per atom: <P> 0; <Q> 41; <R> 172.

***

<P>
VASP calculation (PBE) on DyEr3Au2 after structural relaxation.

```
data_DyEr3Au2
_cell_length_a 6.994
_cell_length_b 13.803
_cell_length_c 7.230
_cell_angle_alpha 90.00
_cell_angle_beta 90.00
_cell_angle_gamma 90.00
_space_group_name_H-M_alt 'I b a m'
_space_group_IT_number 72
_space_group_name_Hall '-I 2 2c'
loop_
_atom_site_label
_atom_site_fract_x
_atom_site_fract_y
_atom_site_fract_z
Dy1 0.000 0.000 0.000
Er1 0.000 0.233 0.250
Er2 0.000 0.500 0.250
Au1 0.205 0.358 0.000
```

***

<Q>
VASP calculation (PBE) on DyEr3Au2 after structural relaxation.

```
data_DyEr3Au2
_cell_length_a 4.929
_cell_length_b 8.882
_cell_length_c 7.073
_cell_angle_alpha 90.00
_cell_angle_beta 90.00
_cell_angle_gamma 90.00
_space_group_name_H-M_alt 'P m c 21'
_space_group_IT_number 26
loop_
_space_group_symop_operation_xyz
'x,y,z'
'-x,-y,z+1/2'
'-x,y,z'
'x,-y,z+1/2'
loop_
_atom_site_label
_atom_site_fract_x
_atom_site_fract_y
_atom_site_fract_z
Dy1 0.000 0.073 0.000
Er1 0.000 0.331 0.636
Er2 0.500 0.170 0.338
Er3 0.500 0.427 0.973
Au1 0.000 0.350 0.230
Au2 0.500 0.152 0.744
```

***

Relative energy of each structure, in meV per atom: <P> 184; <Q> 0.

***

<P>
VASP calculation (PBE) on Dy2ErAu4 after structural relaxation.

```
data_Dy2ErAu4
_cell_length_a 5.270
_cell_length_b 5.270
_cell_length_c 14.708
_cell_angle_alpha 90.00
_cell_angle_beta 90.00
_cell_angle_gamma 90.00
_space_group_name_H-M_alt 'I 4/m m m'
_space_group_IT_number 139
_space_group_name_Hall '-I 4 2'
loop_
_atom_site_label
_atom_site_fract_x
_atom_site_fract_y
_atom_site_fract_z
Dy1 0.000 0.000 0.117
Er1 0.000 0.000 0.500
Au1 0.000 0.000 0.310
Au2 0.000 0.500 0.000
```

***

<Q>
VASP calculation (PBE) on Dy2ErAu4 after structural relaxation.

```
data_Dy2ErAu4
_cell_length_a 4.9672
_cell_length_b 4.9672
_cell_length_c 24.5442
_cell_angle_alpha 90.00
_cell_angle_beta 90.00
_cell_angle_gamma 120.00
_space_group_name_H-M_alt 'R -3 m'
_space_group_IT_number 166
_space_group_name_Hall '-R 3 2"'
loop_
_atom_site_label
_atom_site_fract_x
_atom_site_fract_y
_atom_site_fract_z
Dy1 0.0000 0.0000 0.2407
Er1 0.0000 0.0000 0.0000
Au1 0.0000 0.0000 0.1196
Au2 0.0000 0.0000 0.3651
```

***

Relative energy of each structure, in meV per atom: <P> 451; <Q> 0.

***

<P>
VASP calculation (PBE) on DyErGaAu after structural relaxation.

```
data_DyErGaAu
_cell_length_a 7.180
_cell_length_b 7.180
_cell_length_c 7.180
_cell_angle_alpha 90.00
_cell_angle_beta 90.00
_cell_angle_gamma 90.00
_space_group_name_H-M_alt 'F -4 3 m'
_space_group_IT_number 216
_space_group_name_Hall 'F -4 2 3'
loop_
_atom_site_label
_atom_site_fract_x
_atom_site_fract_y
_atom_site_fract_z
Dy1 0.000 0.000 0.000
Er1 0.000 0.000 0.500
Ga1 0.250 0.250 0.250
Au1 0.250 0.250 0.750
```

***

<Q>
VASP calculation (PBE) on DyErGaAu after structural relaxation.

```
data_DyErGaAu
_cell_length_a 4.509
_cell_length_b 3.768
_cell_length_c 11.120
_cell_angle_alpha 90.00
_cell_angle_beta 90.00
_cell_angle_gamma 90.00
_space_group_name_H-M_alt 'A m m 2'
_space_group_IT_number 38
loop_
_space_group_symop_operation_xyz
'x,y,z'
'-x,-y,z'
'-x,y,z'
'x,-y,z'
'x,y+1/2,z+1/2'
'-x,-y+1/2,z+1/2'
'-x,y+1/2,z+1/2'
'x,-y+1/2,z+1/2'
loop_
_atom_site_label
_atom_site_fract_x
_atom_site_fract_y
_atom_site_fract_z
Dy1 0.000 0.000 0.000
Er1 0.500 0.000 0.288
Ga1 0.500 0.000 0.564
Au1 0.000 0.000 0.726
```

***

Relative energy of each structure, in meV per atom: <P> 26; <Q> 0.

***

<P>
VASP calculation (PBE) on DyErGeAu after structural relaxation.

```
data_DyErGeAu
_cell_length_a 7.150
_cell_length_b 7.150
_cell_length_c 7.150
_cell_angle_alpha 90.00
_cell_angle_beta 90.00
_cell_angle_gamma 90.00
_space_group_name_H-M_alt 'F -4 3 m'
_space_group_IT_number 216
_space_group_name_Hall 'F -4 2 3'
loop_
_atom_site_label
_atom_site_fract_x
_atom_site_fract_y
_atom_site_fract_z
Dy1 0.000 0.000 0.000
Er1 0.000 0.000 0.500
Ge1 0.250 0.250 0.250
Au1 0.250 0.250 0.750
```

***

<Q>
VASP calculation (PBE) on DyErGeAu after structural relaxation.

```
data_DyErGeAu
_cell_length_a 4.298
_cell_length_b 4.034
_cell_length_c 10.880
_cell_angle_alpha 90.00
_cell_angle_beta 90.00
_cell_angle_gamma 90.00
_space_group_name_H-M_alt 'A m m 2'
_space_group_IT_number 38
loop_
_space_group_symop_operation_xyz
'x,y,z'
'-x,-y,z'
'-x,y,z'
'x,-y,z'
'x,y+1/2,z+1/2'
'-x,-y+1/2,z+1/2'
'-x,y+1/2,z+1/2'
'x,-y+1/2,z+1/2'
loop_
_atom_site_label
_atom_site_fract_x
_atom_site_fract_y
_atom_site_fract_z
Dy1 0.000 0.000 0.000
Er1 0.500 0.000 0.279
Ge1 0.000 0.000 0.727
Au1 0.500 0.000 0.555
```

***

Relative energy of each structure, in meV per atom: <P> 116; <Q> 0.